(1)
The following is a DFT calculation (GGA-PBE) of a geometry-optimized ZrScTa2 structure.

- relative energy among the computed polymorphs (kJ per mole of atoms) = 0.5
- V (Å³ per cell) = 82.34

abc: 2.958 2.958 9.921
angles: 90.00 90.00 108.40
Positions (direct):
Zr (0.000, 0.000, 0.000)
Sc (0.500, 0.500, 0.290)
Ta (0.000, 0.000, 0.535)
Ta (0.500, 0.500, 0.757)



(2)
The following is a DFT calculation (GGA-PBE) of a geometry-optimized ZrScTa2 structure.

- relative energy among the computed polymorphs (kJ per mole of atoms) = 12.0
- V (Å³ per cell) = 82.14

abc: 10.271 10.271 10.271
angles: 17.14 17.14 17.14
Positions (direct):
Zr (0.000, 0.000, 0.000)
Sc (0.500, 0.500, 0.500)
Ta (0.250, 0.250, 0.250)
Ta (0.750, 0.750, 0.750)



(3)
The following is a DFT calculation (GGA-PBE) of a geometry-optimized ZrScTa2 structure.

- relative energy among the computed polymorphs (kJ per mole of atoms) = 9.6
- V (Å³ per cell) = 81.49

abc: 2.894 2.894 9.731
angles: 90.00 90.00 90.00
Positions (direct):
Zr (0.000, 0.000, 0.000)
Sc (0.000, 0.000, 0.500)
Ta (0.500, 0.500, 0.251)
Ta (0.500, 0.500, 0.749)



(4)
The following is a DFT calculation (GGA-PBE) of a geometry-optimized Zr4ScTa structure.

- V (Å³ per cell) = 136.09

abc: 5.774 5.774 5.774
angles: 60.00 60.00 60.00
Positions (direct):
Zr (0.376, 0.376, 0.376)
Zr (0.376, 0.376, 0.872)
Zr (0.376, 0.872, 0.376)
Zr (0.872, 0.376, 0.376)
Sc (0.000, 0.000, 0.000)
Ta (0.750, 0.750, 0.750)



(5)
The following is a DFT calculation (GGA-PBE) of a geometry-optimized ZrScTa2 structure.

- relative energy among the computed polymorphs (kJ per mole of atoms) = 9.9
- V (Å³ per cell) = 81.77

abc: 5.368 5.368 5.259
angles: 100.29 100.29 33.31
Positions (direct):
Zr (0.000, 0.000, 0.000)
Sc (0.500, 0.500, 0.500)
Ta (0.249, 0.249, 0.746)
Ta (0.751, 0.751, 0.254)



(6)
The following is a DFT calculation (GGA-PBE) of a geometry-optimized ZrScTa2 structure.

- relative energy among the computed polymorphs (kJ per mole of atoms) = 7.2
- V (Å³ per cell) = 80.83

abc: 2.930 2.930 9.907
angles: 90.00 90.00 108.12
Positions (direct):
Zr (0.000, 0.000, 0.000)
Sc (0.000, 0.000, 0.500)
Ta (0.500, 0.500, 0.247)
Ta (0.500, 0.500, 0.753)



(7)
The following is a DFT calculation (GGA-PBE) of a geometry-optimized ZrScTa structure.

- relative energy among the computed polymorphs (kJ per mole of atoms) = 0.7
- V (Å³ per cell) = 129.62

abc: 5.605 5.605 5.547
angles: 117.98 117.98 62.93
Positions (direct):
Zr (0.176, 0.176, 0.271)
Zr (0.824, 0.824, 0.729)
Sc (0.322, 0.322, 0.916)
Sc (0.678, 0.678, 0.084)
Ta (0.253, 0.747, 0.500)
Ta (0.747, 0.253, 0.500)



(8)
The following is a DFT calculation (GGA-PBE) of a geometry-optimized ZrScTa structure.

- relative energy among the computed polymorphs (kJ per mole of atoms) = 0.0
- V (Å³ per cell) = 126.88

abc: 4.899 4.899 6.104
angles: 90.00 90.00 120.00
Positions (direct):
Zr (0.333, 0.667, 0.000)
Zr (0.667, 0.333, 0.000)
Sc (0.000, 0.000, 0.255)
Sc (0.000, 0.000, 0.745)
Ta (0.333, 0.667, 0.500)
Ta (0.667, 0.333, 0.500)



(9)
The following is a DFT calculation (GGA-PBE) of a geometry-optimized ZrScTa structure.

- relative energy among the computed polymorphs (kJ per mole of atoms) = 10.4
- V (Å³ per cell) = 64.31

abc: 5.523 5.523 5.523
angles: 141.67 141.67 55.32
Positions (direct):
Zr (0.000, 0.000, 0.000)
Sc (0.311, 0.311, 0.000)
Ta (0.640, 0.640, 0.000)



(10)
The following is a DFT calculation (GGA-PBE) of a geometry-optimized ZrScTa2 structure.

- relative energy among the computed polymorphs (kJ per mole of atoms) = 6.2
- V (Å³ per cell) = 80.69

abc: 4.862 4.862 4.862
angles: 120.46 120.46 89.21
Positions (direct):
Zr (0.000, 0.000, 0.000)
Sc (0.250, 0.750, 0.500)
Ta (0.500, 0.500, 0.000)
Ta (0.750, 0.250, 0.500)



(11)
The following is a DFT calculation (GGA-PBE) of a geometry-optimized ZrScTa2 structure.

- relative energy among the computed polymorphs (kJ per mole of atoms) = 9.8
- V (Å³ per cell) = 82.96

abc: 10.331 10.331 10.331
angles: 17.08 17.08 17.08
Positions (direct):
Zr (0.000, 0.000, 0.000)
Sc (0.241, 0.241, 0.241)
Ta (0.493, 0.493, 0.493)
Ta (0.749, 0.749, 0.749)



(12)
The following is a DFT calculation (GGA-PBE) of a geometry-optimized Zr2Sc2Ta structure.

- V (Å³ per cell) = 230.51

abc: 7.265 7.265 4.367
angles: 90.00 90.00 90.00
Positions (direct):
Zr (0.145, 0.355, 0.000)
Zr (0.355, 0.855, 0.000)
Zr (0.645, 0.145, 0.000)
Zr (0.855, 0.645, 0.000)
Sc (0.160, 0.660, 0.500)
Sc (0.340, 0.160, 0.500)
Sc (0.660, 0.840, 0.500)
Sc (0.840, 0.340, 0.500)
Ta (0.000, 0.000, 0.000)
Ta (0.500, 0.500, 0.000)



(13)
The following is a DFT calculation (GGA-PBE) of a geometry-optimized Zr3ScTa structure.

- relative energy among the computed polymorphs (kJ per mole of atoms) = 0.0
- V (Å³ per cell) = 136.49

abc: 5.149 5.149 5.149
angles: 90.00 90.00 90.00
Positions (direct):
Zr (0.000, 0.000, 0.500)
Zr (0.000, 0.500, 0.000)
Zr (0.500, 0.000, 0.000)
Sc (0.500, 0.500, 0.500)
Ta (0.000, 0.000, 0.000)



(14)
The following is a DFT calculation (GGA-PBE) of a geometry-optimized ZrScTa2 structure.

- relative energy among the computed polymorphs (kJ per mole of atoms) = 0.0
- V (Å³ per cell) = 83.77

abc: 3.426 3.426 7.136
angles: 90.00 90.00 90.00
Positions (direct):
Zr (0.000, 0.000, 0.000)
Sc (0.500, 0.500, 0.305)
Ta (0.000, 0.000, 0.560)
Ta (0.500, 0.500, 0.756)



(15)
The following is a DFT calculation (GGA-PBE) of a geometry-optimized ZrScTa structure.

- relative energy among the computed polymorphs (kJ per mole of atoms) = 0.6
- V (Å³ per cell) = 63.51

abc: 4.918 4.918 3.032
angles: 90.00 90.00 120.00
Positions (direct):
Zr (0.000, 0.000, 0.000)
Sc (0.667, 0.333, 0.500)
Ta (0.333, 0.667, 0.000)



(16)
The following is a DFT calculation (GGA-PBE) of a geometry-optimized ZrScTa2 structure.

- relative energy among the computed polymorphs (kJ per mole of atoms) = 2.5
- V (Å³ per cell) = 82.46

abc: 3.005 4.714 5.965
angles: 90.00 102.65 90.00
Positions (direct):
Zr (0.000, 0.000, 0.000)
Sc (0.580, 0.500, 0.298)
Ta (0.125, 0.000, 0.530)
Ta (0.436, 0.500, 0.771)



(17)
The following is a DFT calculation (GGA-PBE) of a geometry-optimized ZrScTa2 structure.

- relative energy among the computed polymorphs (kJ per mole of atoms) = 14.6
- V (Å³ per cell) = 83.23

abc: 3.619 3.619 6.356
angles: 90.00 90.00 90.00
Positions (direct):
Zr (0.000, 0.000, 0.000)
Sc (0.000, 0.000, 0.500)
Ta (0.500, 0.500, 0.222)
Ta (0.500, 0.500, 0.778)



(18)
The following is a DFT calculation (GGA-PBE) of a geometry-optimized ZrScTa2 structure.

- relative energy among the computed polymorphs (kJ per mole of atoms) = 9.8
- V (Å³ per cell) = 81.34

abc: 5.582 5.582 5.582
angles: 136.51 136.51 63.19
Positions (direct):
Zr (0.000, 0.000, 0.000)
Sc (0.500, 0.500, 0.000)
Ta (0.250, 0.750, 0.500)
Ta (0.750, 0.250, 0.500)



(19)
The following is a DFT calculation (GGA-PBE) of a geometry-optimized ZrScTa structure.

- relative energy among the computed polymorphs (kJ per mole of atoms) = 1.6
- V (Å³ per cell) = 129.47

abc: 4.963 5.494 5.494
angles: 120.19 90.00 90.00
Positions (direct):
Zr (0.000, 0.157, 0.843)
Zr (0.000, 0.843, 0.157)
Sc (0.500, 0.182, 0.502)
Sc (0.500, 0.502, 0.182)
Ta (0.000, 0.534, 0.534)
Ta (0.500, 0.820, 0.820)



(20)
The following is a DFT calculation (GGA-PBE) of a geometry-optimized ZrScTa structure.

- relative energy among the computed polymorphs (kJ per mole of atoms) = 74.9
- V (Å³ per cell) = 73.42

abc: 4.700 4.700 4.700
angles: 60.00 60.00 60.00
Positions (direct):
Zr (0.000, 0.000, 0.000)
Sc (0.500, 0.500, 0.500)
Ta (0.750, 0.750, 0.750)



(21)
The following is a DFT calculation (GGA-PBE) of a geometry-optimized ZrSc2Ta2 structure.

- V (Å³ per cell) = 216.66

abc: 8.275 8.275 3.164
angles: 90.00 90.00 90.00
Positions (direct):
Zr (0.000, 0.000, 0.000)
Zr (0.500, 0.500, 0.000)
Sc (0.183, 0.317, 0.500)
Sc (0.317, 0.817, 0.500)
Sc (0.683, 0.183, 0.500)
Sc (0.817, 0.683, 0.500)
Ta (0.113, 0.613, 0.000)
Ta (0.387, 0.113, 0.000)
Ta (0.613, 0.887, 0.000)
Ta (0.887, 0.387, 0.000)



(22)
The following is a DFT calculation (GGA-PBE) of a geometry-optimized Tb7Sc2 structure.

- relative energy among the computed polymorphs (kJ per mole of atoms) = 1.0
- V (Å³ per cell) = 272.81

abc: 9.547 9.547 3.456
angles: 90.00 90.00 120.00
Positions (direct):
Tb (0.000, 0.000, 0.000)
Tb (0.000, 0.308, 0.500)
Tb (0.000, 0.632, 0.000)
Tb (0.308, 0.000, 0.500)
Tb (0.368, 0.368, 0.000)
Tb (0.632, 0.000, 0.000)
Tb (0.692, 0.692, 0.500)
Sc (0.333, 0.667, 0.500)
Sc (0.667, 0.333, 0.500)



(23)
The following is a DFT calculation (GGA-PBE) of a geometry-optimized Tb6Sc7 structure.

- V (Å³ per cell) = 386.29

abc: 11.798 11.798 11.798
angles: 30.99 30.99 30.99
Positions (direct):
Tb (0.048, 0.048, 0.048)
Tb (0.150, 0.150, 0.150)
Tb (0.333, 0.333, 0.333)
Tb (0.667, 0.667, 0.667)
Tb (0.850, 0.850, 0.850)
Tb (0.952, 0.952, 0.952)
Sc (0.088, 0.590, 0.590)
Sc (0.410, 0.410, 0.912)
Sc (0.410, 0.912, 0.410)
Sc (0.500, 0.500, 0.500)
Sc (0.590, 0.088, 0.590)
Sc (0.590, 0.590, 0.088)
Sc (0.912, 0.410, 0.410)



(24)
The following is a DFT calculation (GGA-PBE) of a geometry-optimized TbSc6 structure.

- relative energy among the computed polymorphs (kJ per mole of atoms) = 101.2
- V (Å³ per cell) = 193.01

abc: 6.306 6.306 6.306
angles: 109.47 109.47 109.47
Positions (direct):
Tb (0.000, 0.000, 0.000)
Sc (0.250, 0.500, 0.750)
Sc (0.250, 0.750, 0.500)
Sc (0.500, 0.250, 0.750)
Sc (0.500, 0.750, 0.250)
Sc (0.750, 0.250, 0.500)
Sc (0.750, 0.500, 0.250)



(25)
The following is a DFT calculation (GGA-PBE) of a geometry-optimized Tb7Sc3 structure.

- V (Å³ per cell) = 604.95

abc: 10.673 10.673 6.132
angles: 90.00 90.00 120.00
Positions (direct):
Tb (0.053, 0.526, 0.000)
Tb (0.119, 0.238, 0.847)
Tb (0.119, 0.881, 0.847)
Tb (0.238, 0.119, 0.347)
Tb (0.333, 0.667, 0.753)
Tb (0.474, 0.526, 0.000)
Tb (0.474, 0.947, 0.000)
Tb (0.526, 0.053, 0.500)
Tb (0.526, 0.474, 0.500)
Tb (0.667, 0.333, 0.253)
Tb (0.762, 0.881, 0.847)
Tb (0.881, 0.119, 0.347)
Tb (0.881, 0.762, 0.347)
Tb (0.947, 0.474, 0.500)
Sc (0.221, 0.442, 0.360)
Sc (0.221, 0.779, 0.360)
Sc (0.442, 0.221, 0.860)
Sc (0.558, 0.779, 0.360)
Sc (0.779, 0.221, 0.860)
Sc (0.779, 0.558, 0.860)



(26)
The following is a DFT calculation (GGA-PBE) of a geometry-optimized Tb4Sc3 structure.

- V (Å³ per cell) = 200.09

abc: 12.467 12.467 12.467
angles: 164.04 157.94 27.35
Positions (direct):
Tb (0.071, 0.071, 0.000)
Tb (0.212, 0.212, 0.000)
Tb (0.788, 0.788, 0.000)
Tb (0.929, 0.929, 0.000)
Sc (0.358, 0.358, 0.000)
Sc (0.500, 0.500, 0.000)
Sc (0.642, 0.642, 0.000)



Number 1: total magnetic moment 0.00 μB/cell, formation energy 122.8 meV per atom. Number 2: total magnetic moment 0.00 μB/cell, formation energy 242.7 meV per atom. Number 3: total magnetic moment 0.00 μB/cell, formation energy 217.8 meV per atom. Number 4: total magnetic moment 0.06 μB/cell, formation energy 440.9 meV per atom. Number 5: total magnetic moment 0.00 μB/cell, formation energy 220.6 meV per atom. Number 6: total magnetic moment 0.00 μB/cell, formation energy 192.2 meV per atom. Number 7: total magnetic moment 0.00 μB/cell, formation energy 92.0 meV per atom. Number 8: total magnetic moment 0.00 μB/cell, formation energy 85.1 meV per atom. Number 9: total magnetic moment 0.00 μB/cell, formation energy 192.5 meV per atom. Number 10: total magnetic moment 0.00 μB/cell, formation energy 181.8 meV per atom. Number 11: total magnetic moment 0.00 μB/cell, formation energy 219.2 meV per atom. Number 12: total magnetic moment 0.00 μB/cell, formation energy 366.0 meV per atom. Number 13: total magnetic moment 0.00 μB/cell, formation energy 792.8 meV per atom. Number 14: total magnetic moment 0.00 μB/cell, formation energy 117.9 meV per atom. Number 15: total magnetic moment 0.00 μB/cell, formation energy 91.5 meV per atom. Number 16: total magnetic moment 0.00 μB/cell, formation energy 144.2 meV per atom. Number 17: total magnetic moment 0.00 μB/cell, formation energy 269.0 meV per atom. Number 18: total magnetic moment 0.00 μB/cell, formation energy 219.9 meV per atom. Number 19: total magnetic moment 0.00 μB/cell, formation energy 101.7 meV per atom. Number 20: total magnetic moment 0.00 μB/cell, formation energy 861.1 meV per atom. Number 21: total magnetic moment 0.00 μB/cell, formation energy 332.8 meV per atom. Number 22: total magnetic moment 0.00 μB/cell, formation energy 50.7 meV per atom. Number 23: total magnetic moment 13.11 μB/cell, formation energy 224.9 meV per atom. Number 24: total magnetic moment 0.00 μB/cell, formation energy 1294.1 meV per atom. Number 25: total magnetic moment 3.10 μB/cell, formation energy 205.2 meV per atom. Number 26: total magnetic moment 0.00 μB/cell, formation energy 49.9 meV per atom.